First-principles (PBE) data for a relaxed Ta2Se crystal, as listed in Alexandria via LeMat-Bulk.

The space group is P-3m1 (No. 164) and the conventional cell measures 3.1080, 3.1080 and 6.4739 Å, with angles of 90.00, 90.00 and 120.00 degrees. The asymmetric unit holds Ta at (0.3333, 0.6667, 0.3098) and Se at (0.0000, 0.0000, 0.0000).

The formation energy from raw total energies comes out at 45 meV/atom. Its crystal system is trigonal.


First-principles (PBE) data for a relaxed Ta6Se7 crystal, as listed in Alexandria via LeMat-Bulk.

The space group is R-3m (No. 166, hexagonal axes) and the conventional cell measures 5.6433, 5.6433 and 27.7911 Å, with angles of 90.00, 90.00 and 120.00 degrees. The asymmetric unit holds Ta at (0.0000, 0.0000, 0.0474), Ta at (0.0000, 0.0000, 0.1506), Ta at (0.0000, 0.0000, 0.3334), Se at (0.0000, 0.0000, 0.5000) and Se at (0.0044, 0.5022, 0.9260).

The formation energy from raw total energies comes out at 503 meV/atom. Its crystal system is trigonal.


First-principles (PBE) data for a relaxed Ta3Se crystal, as listed in Alexandria via LeMat-Bulk.

The space group is P-6m2 (No. 187) and the conventional cell measures 3.1106, 3.1106 and 8.6875 Å, with angles of 90.00, 90.00 and 120.00 degrees. The asymmetric unit holds Ta at (0.0000, 0.0000, 0.0000), Ta at (0.6667, 0.3333, 0.2767) and Se at (0.0000, 0.0000, 0.5000).

The formation energy from raw total energies comes out at -22 meV/atom. Its crystal system is hexagonal. The energy above the lowest structure with this stoichiometry is 0 meV/atom.


First-principles (PBE) data for a relaxed Ta2Se crystal, as listed in Alexandria via LeMat-Bulk.

The space group is Pa-3 (No. 205) and the conventional cell measures 6.112, 6.112 and 6.112 Å, with angles of 90.00, 90.00 and 90.00 degrees. The asymmetric unit holds Ta at (0.132, 0.132, 0.132) and Se at (0.000, 0.000, 0.500).

The formation energy from raw total energies comes out at 357 meV/atom. Its crystal system is cubic.


First-principles (PBE) data for a relaxed Ta3Se crystal, as listed in Alexandria via LeMat-Bulk.

The space group is C2/m (No. 12) and the conventional cell measures 9.519, 3.365 and 4.812 Å, with angles of 90.00, 112.00 and 90.00 degrees. The asymmetric unit holds Ta at (0.000, 0.000, 0.000), Ta at (0.240, 0.000, 0.734) and Se at (0.000, 0.500, 0.500).

The formation energy from raw total energies comes out at 70 meV/atom. Its crystal system is monoclinic. The energy above the lowest structure with this stoichiometry is 92 meV/atom.


First-principles (PBE) data for a relaxed TaSe4 crystal, as listed in Alexandria via LeMat-Bulk.

The space group is Pm-3m (No. 221) and the conventional cell measures 5.009, 5.009 and 5.009 Å, with angles of 90.00, 90.00 and 90.00 degrees. The asymmetric unit holds Ta at (0.000, 0.000, 0.000), Se at (0.000, 0.000, 0.500) and Se at (0.500, 0.500, 0.500).

The formation energy from raw total energies comes out at 165 meV/atom. Its crystal system is cubic.


First-principles (PBE) data for a relaxed TaSe2 crystal, as listed in Alexandria via LeMat-Bulk.

The space group is Pnnm (No. 58) and the conventional cell measures 5.911, 6.585 and 3.479 Å, with angles of 90.00, 90.00 and 90.00 degrees. The asymmetric unit holds Ta at (0.000, 0.000, 0.000) and Se at (0.238, 0.337, 0.000).

The formation energy from raw total energies comes out at -602 meV/atom. Its crystal system is orthorhombic.


First-principles (PBE) data for a relaxed TaSe3 crystal, as listed in Alexandria via LeMat-Bulk.

The space group is Pm-3m (No. 221) and the conventional cell measures 4.256, 4.256 and 4.256 Å, with angles of 90.00, 90.00 and 90.00 degrees. The asymmetric unit holds Ta at (0.000, 0.000, 0.000) and Se at (0.000, 0.500, 0.500).

The formation energy from raw total energies comes out at 675 meV/atom. Its crystal system is cubic.


First-principles (PBE) data for a relaxed TaSe2 crystal, as listed in Alexandria via LeMat-Bulk.

The space group is P4/mmm (No. 123) and the conventional cell measures 4.467, 4.467 and 3.203 Å, with angles of 90.00, 90.00 and 90.00 degrees. The asymmetric unit holds Ta at (0.000, 0.000, 0.000) and Se at (0.000, 0.500, 0.500).

The formation energy from raw total energies comes out at 3 meV/atom. Its crystal system is tetragonal.


First-principles (PBE) data for a relaxed TaSe2 crystal, as listed in Alexandria via LeMat-Bulk.

The space group is R3m (No. 160, hexagonal axes) and the conventional cell measures 3.4900, 3.4900 and 40.6194 Å, with angles of 90.00, 90.00 and 120.00 degrees. The asymmetric unit holds Ta at (0.0000, 0.0000, 0.0000), Ta at (0.0000, 0.0000, 0.1666), Se at (0.0000, 0.0000, 0.2925), Se at (0.0000, 0.0000, 0.4589), Se at (0.0000, 0.0000, 0.5410) and Se at (0.0000, 0.0000, 0.7075).

The formation energy from raw total energies comes out at -814 meV/atom. Its crystal system is trigonal.


First-principles (PBE) data for a relaxed Ta2Se crystal, as listed in Alexandria via LeMat-Bulk.

The space group is I4_1/amd (No. 141, origin choice 2) and the conventional cell measures 4.433, 4.433 and 22.100 Å, with angles of 90.00, 90.00 and 90.00 degrees. The asymmetric unit holds Ta at (0.000, 0.250, 0.125), Ta at (0.000, 0.250, 0.294) and Se at (0.000, 0.250, 0.800).

The formation energy from raw total energies comes out at 101 meV/atom. Its crystal system is tetragonal.


First-principles (PBE) data for a relaxed TaSe3 crystal, as listed in Alexandria via LeMat-Bulk.

The space group is P2_1/m (No. 11) and the conventional cell measures 5.418, 3.497 and 9.700 Å, with angles of 90.00, 97.11 and 90.00 degrees. The asymmetric unit holds Ta at (0.213, 0.250, 0.336), Se at (0.067, 0.250, 0.815), Se at (0.260, 0.750, 0.544) and Se at (0.426, 0.750, 0.185).

The formation energy from raw total energies comes out at -619 meV/atom. Its crystal system is monoclinic.


First-principles (PBE) data for a relaxed TaSe2 crystal, as listed in Alexandria via LeMat-Bulk.

The space group is P-1 (No. 2) and the conventional cell measures 6.058, 7.636 and 9.040 Å, with angles of 112.68, 108.84 and 90.87 degrees. The asymmetric unit holds Ta at (0.000, 0.000, 0.000), Ta at (0.180, 0.367, 0.367), Ta at (0.410, 0.815, 0.815), Se at (0.094, 0.733, 0.505), Se at (0.124, 0.653, 0.909), Se at (0.282, 0.151, 0.897), Se at (0.316, 0.042, 0.298) and Se at (0.496, 0.537, 0.312).

The formation energy from raw total energies comes out at -803 meV/atom. Its crystal system is triclinic.


First-principles (PBE) data for a relaxed TaSe3 crystal, as listed in Alexandria via LeMat-Bulk.

The space group is Pmmn (No. 59, origin choice 2) and the conventional cell measures 3.432, 8.070 and 7.135 Å, with angles of 90.00, 90.00 and 90.00 degrees. The asymmetric unit holds Ta at (0.250, 0.250, 0.013), Se at (0.250, 0.567, 0.184) and Se at (0.250, 0.750, 0.714).

The formation energy from raw total energies comes out at -601 meV/atom. Its crystal system is orthorhombic.


First-principles (PBE) data for a relaxed TaSe2 crystal, as listed in Alexandria via LeMat-Bulk.

The space group is P6_3/mmc (No. 194) and the conventional cell measures 3.4819, 3.4819 and 26.9518 Å, with angles of 90.00, 90.00 and 120.00 degrees. The asymmetric unit holds Ta at (0.0000, 0.0000, 0.0000), Ta at (0.0000, 0.0000, 0.2500), Se at (0.3333, 0.6667, 0.0619) and Se at (0.3333, 0.6667, 0.6879).

The formation energy from raw total energies comes out at -808 meV/atom. Its crystal system is hexagonal.


First-principles (PBE) data for a relaxed Ta4Se crystal, as listed in Alexandria via LeMat-Bulk.

The space group is Pm-3m (No. 221) and the conventional cell measures 4.682, 4.682 and 4.682 Å, with angles of 90.00, 90.00 and 90.00 degrees. The asymmetric unit holds Ta at (0.000, 0.000, 0.000), Ta at (0.000, 0.500, 0.500) and Se at (0.500, 0.500, 0.500).

The formation energy from raw total energies comes out at 919 meV/atom. Its crystal system is cubic. The energy above the lowest structure with this stoichiometry is 216 meV/atom.


First-principles (PBE) data for a relaxed TaSe3 crystal, as listed in Alexandria via LeMat-Bulk.

The space group is P2_1/m (No. 11) and the conventional cell measures 4.883, 3.823 and 10.576 Å, with angles of 90.00, 92.47 and 90.00 degrees. The asymmetric unit holds Ta at (0.034, 0.250, 0.178), Se at (0.097, 0.750, 0.344), Se at (0.250, 0.750, 0.039) and Se at (0.422, 0.750, 0.712).

The formation energy from raw total energies comes out at -395 meV/atom. Its crystal system is monoclinic.


First-principles (PBE) data for a relaxed Ta3Se crystal, as listed in Alexandria via LeMat-Bulk.

The space group is Pm-3m (No. 221) and the conventional cell measures 4.148, 4.148 and 4.148 Å, with angles of 90.00, 90.00 and 90.00 degrees. The asymmetric unit holds Ta at (0.000, 0.000, 0.500) and Se at (0.500, 0.500, 0.500).

The formation energy from raw total energies comes out at 255 meV/atom. Its crystal system is cubic. The energy above the lowest structure with this stoichiometry is 277 meV/atom.


First-principles (PBE) data for a relaxed TaSe2 crystal, as listed in Alexandria via LeMat-Bulk.

The space group is P-6m2 (No. 187) and the conventional cell measures 3.4727, 3.4727 and 27.5465 Å, with angles of 90.00, 90.00 and 120.00 degrees. The asymmetric unit holds Ta at (0.0000, 0.0000, 0.0000), Ta at (0.0000, 0.0000, 0.2496), Ta at (0.6667, 0.3333, 0.5000), Se at (0.0000, 0.0000, 0.4391), Se at (0.3333, 0.6667, 0.1887), Se at (0.3333, 0.6667, 0.3105) and Se at (0.6667, 0.3333, 0.0609).

The formation energy from raw total energies comes out at -818 meV/atom. Its crystal system is hexagonal.


First-principles (PBE) data for a relaxed TaSe3 crystal, as listed in Alexandria via LeMat-Bulk.

The space group is R-3m (No. 166, hexagonal axes) and the conventional cell measures 8.6097, 8.6097 and 3.6274 Å, with angles of 90.00, 90.00 and 120.00 degrees. The asymmetric unit holds Ta at (0.0000, 0.0000, 0.0000) and Se at (0.0000, 0.5000, 0.0000).

The formation energy from raw total energies comes out at 295 meV/atom. Its crystal system is trigonal.


First-principles (PBE) data for a relaxed Ta5Se crystal, as listed in Alexandria via LeMat-Bulk.

The space group is Cmmm (No. 65) and the conventional cell measures 4.529, 10.299 and 4.660 Å, with angles of 90.00, 90.00 and 90.00 degrees. The asymmetric unit holds Ta at (0.000, 0.000, 0.000), Ta at (0.000, 0.155, 0.500), Ta at (0.000, 0.324, 0.000) and Se at (0.000, 0.500, 0.500).

The formation energy from raw total energies comes out at 127 meV/atom. Its crystal system is orthorhombic. The energy above the lowest structure with this stoichiometry is 152 meV/atom.


First-principles (PBE) data for a relaxed TaSe3 crystal, as listed in Alexandria via LeMat-Bulk.

The space group is C2/m (No. 12) and the conventional cell measures 13.172, 3.374 and 4.636 Å, with angles of 90.00, 99.70 and 90.00 degrees. The asymmetric unit holds Ta at (0.000, 0.000, 0.000), Se at (0.000, 0.500, 0.500) and Se at (0.149, 0.500, 0.183).

The formation energy from raw total energies comes out at -209 meV/atom. Its crystal system is monoclinic.


First-principles (PBE) data for a relaxed TaSe2 crystal, as listed in Alexandria via LeMat-Bulk.

The space group is I4/mcm (No. 140) and the conventional cell measures 6.248, 6.248 and 5.929 Å, with angles of 90.00, 90.00 and 90.00 degrees. The asymmetric unit holds Ta at (0.000, 0.000, 0.250) and Se at (0.167, 0.333, 0.000).

The formation energy from raw total energies comes out at -330 meV/atom. Its crystal system is tetragonal.


First-principles (PBE) data for a relaxed TaSe3 crystal, as listed in Alexandria via LeMat-Bulk.

The space group is P2_1/m (No. 11) and the conventional cell measures 10.641, 3.513 and 15.828 Å, with angles of 90.00, 109.03 and 90.00 degrees. The asymmetric unit holds Ta at (0.147, 0.250, 0.116), Ta at (0.169, 0.250, 0.791), Ta at (0.196, 0.750, 0.539), Se at (0.029, 0.250, 0.249), Se at (0.051, 0.250, 0.932), Se at (0.052, 0.250, 0.592), Se at (0.240, 0.250, 0.424), Se at (0.289, 0.750, 0.235), Se at (0.299, 0.750, 0.722), Se at (0.312, 0.750, 0.079), Se at (0.312, 0.750, 0.909) and Se at (0.395, 0.250, 0.575).

The formation energy from raw total energies comes out at -647 meV/atom. Its crystal system is monoclinic.


First-principles (PBE) data for a relaxed TaSe2 crystal, as listed in Alexandria via LeMat-Bulk.

The space group is P6_3/mmc (No. 194) and the conventional cell measures 5.2992, 5.2992 and 10.8071 Å, with angles of 90.00, 90.00 and 120.00 degrees. The asymmetric unit holds Ta at (0.3333, 0.6667, 0.0478), Se at (0.0000, 0.0000, 0.0000) and Se at (0.1665, 0.3331, 0.2500).

The formation energy from raw total energies comes out at 515 meV/atom. Its crystal system is hexagonal.